! MgCdW2, optimized geometry, DFT PBEsol; values from VASP
&SYSTEM
  ibrav = 0, nat = 4, ntyp = 3
/
ATOMIC_SPECIES
Cd 112.41 Cd.upf
Mg 24.30 Mg.upf
W 183.84 W.upf
CELL_PARAMETERS angstrom
2.766 0.000 0.007
0.000 4.413 0.000
-1.213 0.000 5.615
ATOMIC_POSITIONS crystal
Cd 0.473 0.000 0.508
Mg 0.242 0.500 0.753
W 0.989 0.000 0.016
W 0.796 0.500 0.223
! Energy relative to the lowest polymorph listed for this composition, meV per atom: 0
! Space-group type: Pm, No. 6
! Formation energy, eV per atom: 0.418

=====

! Mo2RuBr, optimized geometry, DFT PBEsol; values from VASP
&SYSTEM
  ibrav = 0, nat = 4, ntyp = 3
/
ATOMIC_SPECIES
Ru 101.07 Ru.upf
Mo 95.94 Mo.upf
Br 79.90 Br.upf
CELL_PARAMETERS angstrom
-2.327 0.001 1.677
-0.175 -4.561 -0.240
2.666 -0.297 3.700
ATOMIC_POSITIONS crystal
Ru 0.500 0.500 0.500
Mo 0.000 0.000 0.500
Mo 0.000 0.500 0.000
Br 0.500 0.000 0.000
! Energy relative to the lowest polymorph listed for this composition, meV per atom: 0
! Space-group type: P4/mmm, No. 123
! Energy relative to the elements, uncorrected, meV per atom: 616

=====

! AgGe3B, optimized geometry, DFT PBEsol; values from VASP
&SYSTEM
  ibrav = 0, nat = 5, ntyp = 3
/
ATOMIC_SPECIES
Ge 72.64 Ge.upf
B 10.81 B.upf
Ag 107.87 Ag.upf
CELL_PARAMETERS angstrom
-1.919 3.899 0.301
-3.050 -1.283 -2.834
-2.448 -1.459 3.295
ATOMIC_POSITIONS crystal
Ge 0.000 0.500 0.000
Ge 0.000 0.000 0.500
Ge 0.500 0.000 0.000
B 0.000 0.000 0.000
Ag 0.500 0.500 0.500
! Energy relative to the lowest polymorph listed for this composition, meV per atom: 0
! Space-group type: Pm-3m, No. 221
! Formation energy, eV per atom: 0.631

=====

! YZn2Tc, optimized geometry, DFT PBEsol; values from VASP
&SYSTEM
  ibrav = 0, nat = 4, ntyp = 3
/
ATOMIC_SPECIES
Tc 98.00 Tc.upf
Y 88.91 Y.upf
Zn 65.41 Zn.upf
CELL_PARAMETERS angstrom
-0.545 -3.686 1.650
2.471 1.012 3.078
-4.079 2.714 -0.315
ATOMIC_POSITIONS crystal
Tc 0.500 0.500 0.000
Y 0.000 0.000 0.000
Zn 0.750 0.250 0.500
Zn 0.250 0.750 0.500
! Energy relative to the lowest polymorph listed for this composition, meV per atom: 0
! Space-group type: I4/mmm, No. 139
! Formation energy, eV per atom: -0.086

=====

! NbBrN2F, optimized geometry, DFT PBEsol; values from VASP
&SYSTEM
  ibrav = 0, nat = 5, ntyp = 4
/
ATOMIC_SPECIES
Nb 92.91 Nb.upf
N 14.01 N.upf
Br 79.90 Br.upf
F 19.00 F.upf
CELL_PARAMETERS angstrom
3.908 0.000 0.000
0.000 4.445 0.000
0.000 0.000 4.445
ATOMIC_POSITIONS crystal
Nb 0.500 0.000 0.000
N 0.000 0.000 0.500
N 0.000 0.500 0.000
Br 0.500 0.500 0.500
F 0.000 0.000 0.000
! Space-group type: P4/mmm, No. 123
! Energy relative to the elements, uncorrected, meV per atom: 1495

=====

! CaHgPb2, optimized geometry, DFT PBEsol; values from VASP
&SYSTEM
  ibrav = 0, nat = 4, ntyp = 3
/
ATOMIC_SPECIES
Pb 207.20 Pb.upf
Ca 40.08 Ca.upf
Hg 200.59 Hg.upf
CELL_PARAMETERS angstrom
-2.307 -3.697 1.746
2.440 -2.853 -2.818
3.322 2.782 3.970
ATOMIC_POSITIONS crystal
Pb 0.000 0.000 0.000
Pb 0.750 0.250 0.500
Ca 0.500 0.500 0.000
Hg 0.250 0.750 0.500
! Space-group type: I-4m2, No. 119
! Formation energy, eV per atom: -0.345

=====

! Sc2V2O7, optimized geometry, DFT PBEsol; values from VASP
&SYSTEM
  ibrav = 0, nat = 22, ntyp = 3
/
ATOMIC_SPECIES
Sc 44.96 Sc.upf
V 50.94 V.upf
O 16.00 O.upf
CELL_PARAMETERS angstrom
6.826 0.000 0.000
3.413 5.911 0.000
3.413 1.970 5.573
ATOMIC_POSITIONS crystal
Sc 0.625 0.125 0.625
Sc 0.625 0.625 0.125
Sc 0.625 0.625 0.625
Sc 0.125 0.625 0.625
V 0.125 0.125 0.125
V 0.625 0.125 0.125
V 0.125 0.125 0.625
V 0.125 0.625 0.125
O 0.788 0.212 0.212
O 0.038 0.462 0.462
O 0.500 0.500 0.500
O 0.212 0.788 0.212
O 0.788 0.212 0.788
O 0.788 0.788 0.212
O 0.212 0.212 0.788
O 0.038 0.462 0.038
O 0.462 0.038 0.462
O 0.038 0.038 0.462
O 0.750 0.750 0.750
O 0.462 0.462 0.038
O 0.212 0.788 0.788
O 0.462 0.038 0.038
! Energy relative to the lowest polymorph listed for this composition, meV per atom: 77
! Space-group type: Fd-3m, No. 227
! Energy relative to the elements, uncorrected, meV per atom: -2852

=====

! LaTaSb2, optimized geometry, DFT PBEsol; values from VASP
&SYSTEM
  ibrav = 0, nat = 4, ntyp = 3
/
ATOMIC_SPECIES
La 138.91 La.upf
Sb 121.76 Sb.upf
Ta 180.95 Ta.upf
CELL_PARAMETERS angstrom
3.111 0.011 0.000
-0.397 3.085 0.000
0.000 0.000 10.795
ATOMIC_POSITIONS crystal
La 0.500 0.500 0.271
Sb 0.000 0.000 0.022
Sb 0.500 0.500 0.700
Ta 0.000 0.000 0.507
! Energy relative to the lowest polymorph listed for this composition, meV per atom: 489
! Space-group type: Cmm2, No. 35
! Energy relative to the elements, uncorrected, meV per atom: 76

=====

! ZrCoIr3, optimized geometry, DFT PBEsol; values from VASP
&SYSTEM
  ibrav = 0, nat = 5, ntyp = 3
/
ATOMIC_SPECIES
Ir 192.22 Ir.upf
Co 58.93 Co.upf
Zr 91.22 Zr.upf
CELL_PARAMETERS angstrom
-1.930 4.228 0.890
-1.047 0.488 -4.589
-4.192 -2.068 0.736
ATOMIC_POSITIONS crystal
Ir 0.000 0.500 0.000
Ir 0.000 0.000 0.500
Ir 0.500 0.000 0.000
Co 0.500 0.500 0.500
Zr 0.000 0.000 0.000
! Space-group type: Pm-3m, No. 221
! Formation energy, eV per atom: 2.120

=====

! Fe2SiSb, optimized geometry, DFT PBEsol; values from VASP
&SYSTEM
  ibrav = 0, nat = 4, ntyp = 3
/
ATOMIC_SPECIES
Fe 55.84 Fe.upf
Sb 121.76 Sb.upf
Si 28.09 Si.upf
CELL_PARAMETERS angstrom
-1.856 -1.990 -1.145
2.682 -2.079 3.073
-3.096 1.528 2.364
ATOMIC_POSITIONS crystal
Fe 0.983 0.966 0.916
Fe 0.759 0.518 0.309
Sb 0.500 0.000 0.436
Si 0.258 0.515 0.839
! Space-group type: Cm, No. 8
! Energy relative to the elements, uncorrected, meV per atom: 8

=====

! Li3Zn, optimized geometry, DFT PBEsol; values from VASP
&SYSTEM
  ibrav = 0, nat = 8, ntyp = 2
/
ATOMIC_SPECIES
Zn 65.41 Zn.upf
Li 6.94 Li.upf
CELL_PARAMETERS angstrom
-1.725 -0.867 -3.497
5.025 0.369 -2.570
0.925 -5.506 0.909
ATOMIC_POSITIONS crystal
Zn 0.250 0.606 0.394
Zn 0.750 0.394 0.606
Li 0.750 0.846 0.154
Li 0.250 0.154 0.846
Li 0.750 0.875 0.628
Li 0.250 0.125 0.372
Li 0.750 0.372 0.125
Li 0.250 0.628 0.875
! Space-group type: Cmcm, No. 63
! Formation energy, eV per atom: -0.084

=====

! AsPtRh2, optimized geometry, DFT PBEsol; values from VASP
&SYSTEM
  ibrav = 0, nat = 4, ntyp = 3
/
ATOMIC_SPECIES
As 74.92 As.upf
Rh 102.91 Rh.upf
Pt 195.08 Pt.upf
CELL_PARAMETERS angstrom
2.890 0.000 0.000
0.000 4.549 -0.006
0.000 -1.300 4.359
ATOMIC_POSITIONS crystal
As 0.500 0.000 0.000
Rh 0.000 0.500 0.000
Rh 0.000 0.000 0.500
Pt 0.500 0.500 0.500
! Space-group type: Cmmm, No. 65
! Formation energy, eV per atom: -0.127

=====

Total DFT energy (no corrections) / eV per atom: -7.214; -8.278; -4.398; -5.399; -4.839; -3.019; -9.145; -6.677; -7.140; -7.050; -1.955; -7.214